1.
## In5Cu (PBE)

Data for an optimized crystal structure of In5Cu.

Calculated values
Size of the total moment: 0.0 μB per formula unit
Energy of formation from the pure elements: 0.146 eV per atom
Crystal system: hexagonal
D(E_F): 3.40 states/eV/f.u.
V: 149.7 Å³/cell

Unit cell a=6.0037 b=6.0037 c=4.7944 alpha=90.00 beta=90.00 gamma=120.00
Closest atoms and distances in Å follow each position.
Sites, in units of the cell vectors:
In: 0.0000 0.3035 0.0000  2 Cu 3.01, 6 In 3.16-3.18
In: 0.3035 0.0000 0.0000  2 Cu 3.01, 6 In 3.16-3.18
In: 0.6965 0.6965 0.0000  2 Cu 3.01, 6 In 3.16-3.18
In: 0.3333 0.6667 0.5000  9 In 3.18-3.47, 3 Cu 3.47
In: 0.6667 0.3333 0.5000  9 In 3.18-3.47, 3 Cu 3.47
Cu: 0.0000 0.0000 0.5000  6 In 3.01

2.
## PPb2W (PBE)

Data for an optimized crystal structure of PPb2W.

Calculated values
Size of the total moment: 0.4 μB per formula unit
Energy of formation from the pure elements: 1.052 eV per atom
Crystal system: orthorhombic
D(E_F): 3.88 states/eV/f.u.
V: 84.3 Å³/cell

Unit cell a=5.5380 b=5.5380 c=5.5380 alpha=140.81 beta=127.04 gamma=67.83
Closest atoms and distances in Å follow each position.
Sites, in units of the cell vectors:
P: 0.5000 0.0000 0.5000  4 Pb 2.85, 4 W 3.09
Pb: 0.7354 0.7354 0.0000  2 P 2.85, 2 W 3.06, 4 Pb 3.10
Pb: 0.2646 0.2646 0.0000  2 P 2.85, 2 W 3.06, 4 Pb 3.10
W: 0.0000 0.5000 0.5000  8 Pb 3.06-3.28, 4 P 3.09

3.
## BaCrRe2 (PBE)

Data for an optimized crystal structure of BaCrRe2.

Calculated values
Size of the total moment: 1.3 μB per formula unit
Energy of formation from the pure elements: 1.782 eV per atom
Crystal system: tetragonal
D(E_F): 5.72 states/eV/f.u.
V: 74.9 Å³/cell

Unit cell a=4.7889 b=4.7889 c=3.2642 alpha=90.00 beta=90.00 gamma=90.00
Closest atoms and distances in Å follow each position.
Sites, in units of the cell vectors:
Ba: 0.5000 0.0000 0.5000  8 Re 2.90
Cr: 0.0000 0.5000 0.5000  8 Re 2.90
Re: 0.0000 0.0000 0.0000  4 Ba 2.90, 4 Cr 2.90
Re: 0.5000 0.5000 0.0000  4 Cr 2.90, 4 Ba 2.90